#one
A relaxed CaMoOF2 crystal. Source: Alexandria, functional PBE+U.

extended XYZ file:
```
5
Lattice="4.388 0.000 0.000 0.000 4.388 0.000 0.000 0.000 4.240" Properties=species:S:1:pos:R:3 pbc="T T T"
Mo 0.000 0.000 0.000
Ca 2.194 2.194 2.120
O 0.000 0.000 2.120
F 0.000 2.194 0.000
F 2.194 0.000 0.000
```

Output
The density of states at the Fermi level comes out at 0.248 states/eV/atom. Its density is 3.9 g/cm3. For the size of the total moment, the calculation gives 3.65 μB/cell.

***

#two
A relaxed CaMoOF2 crystal. Source: Alexandria, functional PBE+U.

extended XYZ file:
```
5
Lattice="-3.169 1.506 -2.273 -0.476 -3.737 -1.813 -3.010 -1.250 3.368" Properties=species:S:1:pos:R:3 pbc="T T T"
Mo -3.328 -1.740 -0.359
Ca 0.000 0.000 0.000
F -0.238 -1.868 -0.906
F -1.584 0.753 -1.136
O -1.505 -0.625 1.684
```

Output
The density of states at the Fermi level comes out at 0.000 states/eV/atom. Its density is 3.9 g/cm3. For the size of the total moment, the calculation gives 4.00 μB/cell.

***

Relative energies, unit kJ/mol of atoms: #one 0.0; #two 10.0